Record 1
The following is a DFT calculation (SCAN) of a PBEsol-optimized structure of MnTe2Au.

Calculated values
V: 93.22 Å³/cell
M_tot: 4.65 μB/f.u.
formation energy (no corrections): -8 kJ/mol of formula units
final energy: -161.99 eV per cell
SG: I-4m2, No. 119
density: 9033 kg/m3

```
data_MnTe2Au
_symmetry_space_group_name_H-M 'P 1'
_symmetry_Int_Tables_number 1
_symmetry_space_group_name_Hall 'P 1'
_cell_length_a 6.667
_cell_length_b 6.667
_cell_length_c 6.667
_cell_angle_alpha 145.80
_cell_angle_beta 145.80
_cell_angle_gamma 49.15
loop_
_atom_site_label
_atom_site_fract_x
_atom_site_fract_y
_atom_site_fract_z
Mn1 0.000 0.000 0.000
Te1 0.500 0.500 0.000
Te2 0.750 0.250 0.500
Au1 0.250 0.750 0.500
```

---

Record 2
The following is a DFT calculation (SCAN) of a PBEsol-optimized structure of ZrNb3H.

Calculated values
V: 77.95 Å³/cell
M_tot: 0.00 μB/f.u.
final energy: -132.94 eV per cell
SG: Pm-3m, No. 221
density: 7902 kg/m3

```
data_ZrNb3H
_symmetry_space_group_name_H-M 'P 1'
_symmetry_Int_Tables_number 1
_symmetry_space_group_name_Hall 'P 1'
_cell_length_a 4.272
_cell_length_b 4.272
_cell_length_c 4.272
_cell_angle_alpha 90.00
_cell_angle_beta 90.00
_cell_angle_gamma 90.00
loop_
_atom_site_label
_atom_site_fract_x
_atom_site_fract_y
_atom_site_fract_z
Zr1 0.000 0.000 0.000
Nb1 0.000 0.500 0.500
Nb2 0.500 0.000 0.500
Nb3 0.500 0.500 0.000
H1 0.500 0.500 0.500
```

---

Please write out number 1 again, unchanged.
The following is a DFT calculation (SCAN) of a PBEsol-optimized structure of MnTe2Au.

Calculated values
V: 93.22 Å³/cell
M_tot: 4.65 μB/f.u.
formation energy (no corrections): -8 kJ/mol of formula units
final energy: -161.99 eV per cell
SG: I-4m2, No. 119
density: 9033 kg/m3

```
data_MnTe2Au
_symmetry_space_group_name_H-M 'P 1'
_symmetry_Int_Tables_number 1
_symmetry_space_group_name_Hall 'P 1'
_cell_length_a 6.667
_cell_length_b 6.667
_cell_length_c 6.667
_cell_angle_alpha 145.80
_cell_angle_beta 145.80
_cell_angle_gamma 49.15
loop_
_atom_site_label
_atom_site_fract_x
_atom_site_fract_y
_atom_site_fract_z
Mn1 0.000 0.000 0.000
Te1 0.500 0.500 0.000
Te2 0.750 0.250 0.500
Au1 0.250 0.750 0.500
```